A plane-wave DFT calculation with PBE with a Hubbard U was carried out for a relaxed VNi2O5 crystal.

The value obtained for the volume is 354.93 Å³ per cell. The density of states at the Fermi level is 9.47 states/eV/cell. As for the energy: -188.948 eV per cell. As for the total magnetization: 0.375 μB/atom. As for the calculated density: 4.6 g/cm³.

It has space group Cmcm (No. 63), with a = 3.782 Å, b = 9.669 Å, c = 9.706 Å, α = 90.00°, β = 90.00° and γ = 90.00°. The distinct sites, in fractional coordinates, are V at (0.000, 0.177, 0.250), Ni at (0.000, 0.148, 0.563), O at (0.000, 0.049, 0.123), O at (0.000, 0.264, 0.750) and O at (0.000, 0.310, 0.080).